An optimized crystal structure of YNi4C, computed with PBE-GGA.

a b c (Å): 5.1595 5.1600 7.0664
angles (deg): 68.70 68.78 89.92
With the nearest neighbours (Å) after each atom.
Space group P-1 (No. 2)
Unique sites:
Y (0.2466, 0.2448, 0.0007) (multiplicity 2)  8 Ni 2.84-2.86
Ni (0.1568, 0.6448, 0.1983) (multiplicity 2)  1 C 1.83
Ni (0.1745, 0.1744, 0.5054) (multiplicity 2)  2 C 1.90
Ni (0.3241, 0.6773, 0.4986) (multiplicity 2)  2 C 1.90
Ni (0.3523, 0.8410, 0.8017) (multiplicity 2)  1 C 1.83
C (0.0000, 0.5000, 0.5000) (multiplicity 1)  6 Ni 1.83-1.90
C (0.5000, 0.0000, 0.5000) (multiplicity 1)  6 Ni 1.83-1.90

Calculated values
- ΔE_f: -15.43 kJ/mol of atoms
- Spin magnetization: 0.0 μB/cell
- N(E_F): 0.5942 states/eV per atom